First-principles (PBE) data for crystalline K4CaTc3O12 at its relaxed geometry, as listed in the Alexandria database.

Output
The size of the total moment is 2.67 μB/cell. For the uncorrected formation energy, the calculation gives -1651 meV/atom. The space-group type is Im-3m. For the density, the calculation gives 4.22 g cm⁻³.

Geometry as POSCAR:
```
K4CaTc3O12
1.0
-4.064 4.064 4.064
4.064 -4.064 4.064
4.064 4.064 -4.064
K Ca Tc O
4 1 3 12
direct
0.000 0.000 0.500
0.000 0.500 0.000
0.500 0.000 0.000
0.500 0.500 0.500
0.000 0.000 0.000
0.000 0.500 0.500
0.500 0.000 0.500
0.500 0.500 0.000
0.000 0.275 0.275
0.000 0.725 0.725
0.250 0.500 0.750
0.250 0.750 0.500
0.275 0.000 0.275
0.275 0.275 0.000
0.500 0.250 0.750
0.500 0.750 0.250
0.725 0.000 0.725
0.725 0.725 0.000
0.750 0.250 0.500
0.750 0.500 0.250
```